Version 1
DFT (PBE) results for crystalline TiVRe3 at its relaxed geometry.

DOS(E_F) (states/eV/atom): 0.7729
SG: Pm-3m

Geometry as CIF:
```
data_TiVRe3
_chemical_formula_sum 'Ti1 V1 Re3'
_space_group_name_H-M_alt 'P 1'
_space_group_IT_number 1
_cell_length_a 4.4675
_cell_length_b 4.4675
_cell_length_c 4.4675
_cell_angle_alpha 90.00
_cell_angle_beta 90.00
_cell_angle_gamma 90.00
loop_
_space_group_symop_operation_xyz
'x,y,z'
loop_
_atom_site_label
_atom_site_fract_x
_atom_site_fract_y
_atom_site_fract_z
_atom_site_occupancy
Ti1 0.0000 0.0000 0.0000 1
V1 0.5000 0.5000 0.5000 1
Re1 0.0000 0.5000 0.5000 1
Re2 0.5000 0.0000 0.5000 1
Re3 0.5000 0.5000 0.0000 1
```

Version 2
DFT (PBE) results for crystalline TiVRe3 at its relaxed geometry.

DOS(E_F) (states/eV/atom): 0.7612
SG: Pm-3m

Geometry as CIF:
```
data_TiVRe3
_chemical_formula_sum 'Ti1 V1 Re3'
_space_group_name_H-M_alt 'P 1'
_space_group_IT_number 1
_cell_length_a 4.4817
_cell_length_b 4.4817
_cell_length_c 4.4817
_cell_angle_alpha 90.00
_cell_angle_beta 90.00
_cell_angle_gamma 90.00
loop_
_space_group_symop_operation_xyz
'x,y,z'
loop_
_atom_site_label
_atom_site_fract_x
_atom_site_fract_y
_atom_site_fract_z
_atom_site_occupancy
Ti1 0.0000 0.0000 0.0000 1
V1 0.5000 0.5000 0.5000 1
Re1 0.0000 0.0000 0.5000 1
Re2 0.0000 0.5000 0.0000 1
Re3 0.5000 0.0000 0.0000 1
```

Of them, the most stable is version 1 and the least stable is version 2.

Version 1
DFT (PBE) results for crystalline TiReW2 at its relaxed geometry.

DOS(E_F) (states/eV/atom): 0.8966
SG: I-42d

Geometry as CIF:
```
data_TiReW2
_chemical_formula_sum 'Ti2 Re2 W4'
_space_group_name_H-M_alt 'P 1'
_space_group_IT_number 1
_cell_length_a 5.7725
_cell_length_b 5.7725
_cell_length_c 5.7725
_cell_angle_alpha 102.23
_cell_angle_beta 102.23
_cell_angle_gamma 125.19
loop_
_space_group_symop_operation_xyz
'x,y,z'
loop_
_atom_site_label
_atom_site_fract_x
_atom_site_fract_y
_atom_site_fract_z
_atom_site_occupancy
Ti1 0.0000 0.0000 0.0000 1
Ti2 0.7500 0.2500 0.5000 1
Re1 0.2500 0.7500 0.5000 1
Re2 0.5000 0.5000 0.0000 1
W1 0.1472 0.6250 0.0222 1
W2 0.3750 0.3972 0.5222 1
W3 0.6028 0.1250 0.9778 1
W4 0.8750 0.8528 0.4778 1
```

Version 2
DFT (PBE) results for crystalline TiReW2 at its relaxed geometry.

DOS(E_F) (states/eV/atom): 0.3816
SG: Fm-3m

Geometry as CIF:
```
data_TiReW2
_chemical_formula_sum 'Ti1 Re1 W2'
_space_group_name_H-M_alt 'P 1'
_space_group_IT_number 1
_cell_length_a 4.4528
_cell_length_b 4.4528
_cell_length_c 4.4528
_cell_angle_alpha 60.00
_cell_angle_beta 60.00
_cell_angle_gamma 60.00
loop_
_space_group_symop_operation_xyz
'x,y,z'
loop_
_atom_site_label
_atom_site_fract_x
_atom_site_fract_y
_atom_site_fract_z
_atom_site_occupancy
Ti1 0.0000 0.0000 0.0000 1
Re1 0.5000 0.5000 0.5000 1
W1 0.2500 0.2500 0.2500 1
W2 0.7500 0.7500 0.7500 1
```

Version 3
DFT (PBE) results for crystalline TiReW2 at its relaxed geometry.

DOS(E_F) (states/eV/atom): 0.4247
SG: P4/mmm

Geometry as CIF:
```
data_TiReW2
_chemical_formula_sum 'Ti1 Re1 W2'
_space_group_name_H-M_alt 'P 1'
_space_group_IT_number 1
_cell_length_a 4.4600
_cell_length_b 4.4600
_cell_length_c 3.1423
_cell_angle_alpha 90.00
_cell_angle_beta 90.00
_cell_angle_gamma 90.00
loop_
_space_group_symop_operation_xyz
'x,y,z'
loop_
_atom_site_label
_atom_site_fract_x
_atom_site_fract_y
_atom_site_fract_z
_atom_site_occupancy
Ti1 0.0000 0.0000 0.0000 1
Re1 0.5000 0.5000 0.0000 1
W1 0.0000 0.5000 0.5000 1
W2 0.5000 0.0000 0.5000 1
```

Of them, the most stable is version 2 and the least stable is version 1.

Version 1
DFT (PBE) results for crystalline TiRe2W at its relaxed geometry.

DOS(E_F) (states/eV/atom): 1.3373
SG: I-42d

Geometry as CIF:
```
data_TiRe2W
_chemical_formula_sum 'Ti2 Re4 W2'
_space_group_name_H-M_alt 'P 1'
_space_group_IT_number 1
_cell_length_a 5.6953
_cell_length_b 5.6953
_cell_length_c 5.6953
_cell_angle_alpha 102.63
_cell_angle_beta 102.63
_cell_angle_gamma 124.25
loop_
_space_group_symop_operation_xyz
'x,y,z'
loop_
_atom_site_label
_atom_site_fract_x
_atom_site_fract_y
_atom_site_fract_z
_atom_site_occupancy
Ti1 0.0000 0.0000 0.0000 1
Ti2 0.7500 0.2500 0.5000 1
Re1 0.1354 0.6250 0.0104 1
Re2 0.3750 0.3854 0.5104 1
Re3 0.6146 0.1250 0.9896 1
Re4 0.8750 0.8646 0.4896 1
W1 0.2500 0.7500 0.5000 1
W2 0.5000 0.5000 0.0000 1
```

Version 2
DFT (PBE) results for crystalline TiRe2W at its relaxed geometry.

DOS(E_F) (states/eV/atom): 0.2264
SG: Fm-3m

Geometry as CIF:
```
data_TiRe2W
_chemical_formula_sum 'Ti1 Re2 W1'
_space_group_name_H-M_alt 'P 1'
_space_group_IT_number 1
_cell_length_a 4.4268
_cell_length_b 4.4268
_cell_length_c 4.4268
_cell_angle_alpha 60.00
_cell_angle_beta 60.00
_cell_angle_gamma 60.00
loop_
_space_group_symop_operation_xyz
'x,y,z'
loop_
_atom_site_label
_atom_site_fract_x
_atom_site_fract_y
_atom_site_fract_z
_atom_site_occupancy
Ti1 0.0000 0.0000 0.0000 1
Re1 0.2500 0.2500 0.2500 1
Re2 0.7500 0.7500 0.7500 1
W1 0.5000 0.5000 0.5000 1
```

Of them, the most stable is version 2 and the least stable is version 1.

Version 1
DFT (PBE) results for crystalline YTi3Re at its relaxed geometry.

DOS(E_F) (states/eV/atom): 1.4104
SG: Pm-3m

Geometry as CIF:
```
data_YTi3Re
_chemical_formula_sum 'Y1 Ti3 Re1'
_space_group_name_H-M_alt 'P 1'
_space_group_IT_number 1
_cell_length_a 4.6223
_cell_length_b 4.6223
_cell_length_c 4.6223
_cell_angle_alpha 90.00
_cell_angle_beta 90.00
_cell_angle_gamma 90.00
loop_
_space_group_symop_operation_xyz
'x,y,z'
loop_
_atom_site_label
_atom_site_fract_x
_atom_site_fract_y
_atom_site_fract_z
_atom_site_occupancy
Y1 0.0000 0.0000 0.0000 1
Ti1 0.0000 0.0000 0.5000 1
Ti2 0.0000 0.5000 0.0000 1
Ti3 0.5000 0.0000 0.0000 1
Re1 0.5000 0.5000 0.5000 1
```

Version 2
DFT (PBE) results for crystalline YTi3Re at its relaxed geometry.

DOS(E_F) (states/eV/atom): 2.1661
SG: Pm-3m

Geometry as CIF:
```
data_YTi3Re
_chemical_formula_sum 'Y1 Ti3 Re1'
_space_group_name_H-M_alt 'P 1'
_space_group_IT_number 1
_cell_length_a 4.8241
_cell_length_b 4.8241
_cell_length_c 4.8241
_cell_angle_alpha 90.00
_cell_angle_beta 90.00
_cell_angle_gamma 90.00
loop_
_space_group_symop_operation_xyz
'x,y,z'
loop_
_atom_site_label
_atom_site_fract_x
_atom_site_fract_y
_atom_site_fract_z
_atom_site_occupancy
Y1 0.0000 0.0000 0.0000 1
Ti1 0.0000 0.5000 0.5000 1
Ti2 0.5000 0.0000 0.5000 1
Ti3 0.5000 0.5000 0.0000 1
Re1 0.5000 0.5000 0.5000 1
```

Of them, the most stable is version 2 and the least stable is version 1.